[1]
This record from Alexandria describes MnCoCl2 at its PBEsol-relaxed geometry. The functional is SCAN.

abc: 3.1340 3.1340 21.3875
angles: 90.00 90.00 120.00
Space group R-3m (No. 166, hexagonal axes)
Symmetry-distinct sites (fractional):
Mn (0.0000, 0.0000, 0.0000) x3
Co (0.0000, 0.0000, 0.5000) x3
Cl (0.0000, 0.0000, 0.2443) x6

---

[2]
This record from Alexandria describes MnCo2Cl at its PBEsol-relaxed geometry. The functional is SCAN.

abc: 7.080 2.890 6.167
angles: 90.00 91.60 90.00
Space group Cm (No. 8)
Symmetry-distinct sites (fractional):
Mn (0.000, 0.000, 0.000) x2
Co (0.216, 0.500, 0.222) x2
Co (0.434, 0.000, 0.352) x2
Cl (0.408, 0.000, 0.712) x2

---

[3]
This record from Alexandria describes MnCo2Cl at its PBEsol-relaxed geometry. The functional is SCAN.

abc: 2.841 2.841 6.468
angles: 90.00 90.00 90.00
Space group P4mm (No. 99)
Symmetry-distinct sites (fractional):
Mn (0.000, 0.000, 0.000) x1
Co (0.000, 0.000, 0.562) x1
Co (0.500, 0.500, 0.760) x1
Cl (0.500, 0.500, 0.274) x1

---

Number 1: DOS(E_F) 2.03 states/eV/cell, formation energy from raw total energies -0.31 eV per atom. Number 2: DOS(E_F) 2.63 states/eV/cell, formation energy from raw total energies 0.01 eV per atom. Number 3: DOS(E_F) 1.91 states/eV/cell, formation energy from raw total energies 0.07 eV per atom.